Here is an optimized crystal structure of PrDy2N from Alexandria via LeMat-Bulk. Energies are from GGA-PBE.

Cell: 3.4657 3.4657 9.8629 Å, 79.88 79.88 60.00°
Closest atoms and distances in Å follow each position.
Atoms (fractional coordinates):
Dy 0.8791 0.8791 0.3626  3 N 2.40
N 0.5000 0.5000 0.5000  6 Dy 2.40
Dy 0.1209 0.1209 0.6374  3 N 2.40
Pr 0.0000 0.0000 0.0000  6 Pr 3.47, 2 Dy 3.50

Results
The mass density is 7.9 Mg/m³. The electronic total energy comes out at -6.2793 eV/atom.

=====

Here is an optimized crystal structure of Nb2Ni2Au from Alexandria via LeMat-Bulk. Energies are from GGA-PBE.

Cell: 6.9188 6.9188 3.1794 Å, 90.00 90.00 90.00°
Closest atoms and distances in Å follow each position.
Atoms (fractional coordinates):
Au 0.0000 0.0000 0.0000  4 Ni 2.74, 8 Nb 3.01
Nb 0.8273 0.3273 0.5000  6 Ni 2.54-2.62
Nb 0.6727 0.8273 0.5000  6 Ni 2.54-2.62
Ni 0.3755 0.8755 0.0000  1 Ni 2.44, 6 Nb 2.54-2.62
Nb 0.3273 0.1727 0.5000  6 Ni 2.54-2.62
Ni 0.1245 0.3755 0.0000  1 Ni 2.44, 6 Nb 2.54-2.62
Au 0.5000 0.5000 0.0000  4 Ni 2.74, 8 Nb 3.01
Ni 0.8755 0.6245 0.0000  1 Ni 2.44, 6 Nb 2.54-2.62
Ni 0.6245 0.1245 0.0000  1 Ni 2.44, 6 Nb 2.54-2.62
Nb 0.1727 0.6727 0.5000  6 Ni 2.54-2.62

Results
As for the energy of formation from the pure elements: -0.172 eV per atom. The mass density is 10.9 Mg/m³. The electronic total energy comes out at -7.1680 eV/atom.

=====

Here is an optimized crystal structure of Pr3Nd6Dy2Tm from Alexandria via LeMat-Bulk. Energies are from GGA-PBE.

Cell: 6.3365 6.3365 12.0618 Å, 95.03 95.03 120.02°
Closest atoms and distances in Å follow each position.
Atoms (fractional coordinates):
Nd 0.7492 0.7492 0.2446  1 Tm 3.59, 2 Dy 3.59, 6 Nd 3.65-3.66, 3 Pr 3.69-3.70
Nd 0.9179 0.5852 0.7555  1 Tm 3.59, 2 Dy 3.59, 6 Nd 3.65-3.66, 3 Pr 3.69-3.70
Dy 0.6667 0.3333 0.0000  6 Nd 3.59, 3 Tm 3.66, 3 Dy 3.66
Nd 0.2508 0.2508 0.7554  1 Tm 3.59, 2 Dy 3.59, 6 Nd 3.65-3.66, 3 Pr 3.69-3.70
Pr 0.8335 0.1665 0.5000  6 Pr 3.66, 6 Nd 3.69-3.70
Pr 0.5000 0.5000 0.5000  6 Pr 3.66, 6 Nd 3.69-3.70
Nd 0.0821 0.4148 0.2445  1 Tm 3.59, 2 Dy 3.59, 6 Nd 3.65-3.66, 3 Pr 3.69-3.70
Nd 0.5852 0.9179 0.7555  1 Tm 3.59, 2 Dy 3.59, 6 Nd 3.65-3.66, 3 Pr 3.69-3.70
Dy 0.3333 0.6667 0.0000  6 Nd 3.59, 3 Tm 3.66, 3 Dy 3.66
Tm 0.0000 0.0000 0.0000  6 Nd 3.59, 6 Dy 3.66
Nd 0.4148 0.0821 0.2445  1 Tm 3.59, 2 Dy 3.59, 6 Nd 3.65-3.66, 3 Pr 3.69-3.70
Pr 0.1665 0.8335 0.5000  6 Pr 3.66, 6 Nd 3.69-3.70

Results
As for the energy of formation from the pure elements: 0.017 eV per atom. The mass density is 7.2 Mg/m³. The electronic total energy comes out at -4.7015 eV/atom.

=====

Here is an optimized crystal structure of Na2SmReN4 from Alexandria via LeMat-Bulk. Energies are from GGA-PBE.

Cell: 5.6746 6.7442 7.0837 Å, 90.00 90.00 90.00°
Closest atoms and distances in Å follow each position.
Atoms (fractional coordinates):
Na 0.9844 0.6524 0.7547  4 N 2.35-2.51
N 0.9068 0.3012 0.2171  1 Re 1.84
Na 0.4844 0.3476 0.7453  4 N 2.35-2.51
Re 0.5028 0.8264 0.5000  4 N 1.82-1.85
N 0.9039 0.9129 0.0000  1 Re 1.85
N 0.4068 0.6988 0.2829  1 Re 1.84
Sm 0.9871 0.1333 0.5000  4 N 2.25-2.39
Na 0.4844 0.3476 0.2547  4 N 2.35-2.51
N 0.8237 0.8289 0.5000  1 Re 1.82
N 0.3237 0.1711 0.0000  1 Re 1.82
N 0.9068 0.3012 0.7829  1 Re 1.84
Sm 0.4871 0.8667 0.0000  4 N 2.25-2.39
Re 0.0028 0.1736 0.0000  4 N 1.82-1.85
Na 0.9844 0.6524 0.2453  4 N 2.35-2.51
N 0.4068 0.6988 0.7171  1 Re 1.84
N 0.4039 0.0871 0.5000  1 Re 1.85

Results
The mass density is 5.4 Mg/m³. The electronic total energy comes out at -7.2494 eV/atom.

=====

Here is an optimized crystal structure of LiEuYO2 from Alexandria via LeMat-Bulk. Energies are from GGA-PBE.

Cell: 9.3002 8.7820 9.3002 Å, 21.98 21.03 21.98°
Closest atoms and distances in Å follow each position.
Atoms (fractional coordinates):
Eu 0.9175 0.0317 0.9175  3 O 2.66-2.74
Y 0.5657 0.3898 0.5657  6 O 2.30-2.37
Li 0.2779 0.6737 0.2779  2 O 2.27
O 0.2423 0.1767 0.2423  3 Y 2.33-2.37
O 0.8821 0.6239 0.8821  2 Li 2.27, 3 Y 2.30-2.31

Results
The mass density is 5.1 Mg/m³. The electronic total energy comes out at -7.8836 eV/atom.

=====

Here is an optimized crystal structure of Th2ZnGa3Cu4 from Alexandria via LeMat-Bulk. Energies are from GGA-PBE.

Cell: 4.2752 4.2752 9.8402 Å, 90.00 90.00 90.00°
Closest atoms and distances in Å follow each position.
Atoms (fractional coordinates):
Th 0.5000 0.0000 0.2429  8 Cu 3.21-3.28, 6 Ga 3.22-3.31, 2 Zn 3.31
Cu 0.0000 0.0000 0.0000  4 Ga 2.49
Th 0.0000 0.5000 0.7571  8 Cu 3.21-3.28, 6 Ga 3.22-3.31, 2 Zn 3.31
Cu 0.0000 0.5000 0.3716  3 Ga 2.38-2.48, 2 Zn 2.48
Cu 0.5000 0.0000 0.6284  3 Ga 2.38-2.48, 2 Zn 2.48
Cu 0.5000 0.5000 0.0000  4 Ga 2.49
Ga 0.5000 0.0000 0.8708  5 Cu 2.38-2.49
Zn 0.5000 0.5000 0.5000  4 Cu 2.48
Ga 0.0000 0.0000 0.5000  4 Cu 2.48
Ga 0.0000 0.5000 0.1292  5 Cu 2.38-2.49

Results
As for the energy of formation from the pure elements: -0.382 eV per atom. The mass density is 9.2 Mg/m³. The electronic total energy comes out at -4.5396 eV/atom.